Below is a relaxed Sr2MgInNi crystal, with properties calculated at the PBE level.

The calculation puts the total energy at -2.787 eV/atom. The calculation puts the calculated density at 3.8 g/cm³. The relative energy among the computed polymorphs comes out at 0.00 kJ/mol of atoms. As for the formation energy: -91 meV per atom.

Cell lengths 5.7123, 5.7123, 4.9879 Å; angles 90.00, 90.00, 90.00 degrees
With the nearest neighbours (Å) after each atom.
Space group P4/mmm (No. 123)
Inequivalent atoms, fractional coordinates:
1 Sr 0.0000 0.5000 0.0000  2 Ni 2.86
2 Mg 0.0000 0.0000 0.5000  8 Sr 3.79, 4 In 4.04
3 In 0.5000 0.5000 0.5000  2 Ni 2.49
4 Ni 0.5000 0.5000 0.0000  2 In 2.49

***

Below is a relaxed Na4NbRh3S8 crystal, with properties calculated at the PBE level.

As for the uncorrected formation energy: -773.0 meV/atom. The calculation puts the total energy at -5.174 eV/atom. The calculation puts the calculated density at 4.2 g/cm³.

Cell lengths 7.3277, 7.3277, 19.1329 Å; angles 90.00, 90.00, 120.00 degrees
With the nearest neighbours (Å) after each atom.
Space group R-3m (No. 166, hexagonal axes)
Inequivalent atoms, fractional coordinates:
1 Na 0.0000 0.0000 0.0000  6 S 2.81
2 Na 0.0000 0.5000 0.0000  6 S 2.89-2.90
3 Nb 0.0000 0.0000 0.5000  6 S 2.53
4 Rh 0.0000 0.5000 0.5000  6 S 2.43
5 S 0.0000 0.0000 0.2297  3 Rh 2.43
6 S 0.0116 0.5058 0.7673  2 Rh 2.43, 1 Nb 2.53

***

Below is a relaxed La2FeTc crystal, with properties calculated at the PBE level.

The calculation puts the total energy at -6.735 eV/atom. The calculation puts the calculated density at 8.5 g/cm³. The relative energy among the computed polymorphs comes out at 35.97 kJ/mol of atoms. As for the formation energy: 436 meV per atom.

Cell lengths 6.9682, 6.9682, 6.9682 Å; angles 90.00, 90.00, 90.00 degrees
With the nearest neighbours (Å) after each atom.
Space group F-43m (No. 216)
Inequivalent atoms, fractional coordinates:
1 La 0.0000 0.0000 0.0000  4 La 3.02, 4 Tc 3.02
2 La 0.2500 0.2500 0.2500  4 Fe 3.02, 4 La 3.02
3 Fe 0.0000 0.0000 0.5000  4 Tc 3.02, 4 La 3.02
4 Tc 0.2500 0.2500 0.7500  4 La 3.02, 4 Fe 3.02

***

Below is a relaxed Tl4SbTe4 crystal, with properties calculated at the PBE level.

As for the uncorrected formation energy: -143.3 meV/atom. The calculation puts the total energy at -3.049 eV/atom. The calculation puts the calculated density at 6.4 g/cm³.

Cell lengths 8.1570, 8.1570, 11.2833 Å; angles 90.00, 90.00, 90.00 degrees
With the nearest neighbours (Å) after each atom.
Space group I-42m (No. 121)
Inequivalent atoms, fractional coordinates:
1 Tl 0.0000 0.0000 0.1535  4 Te 3.28-3.37, 1 Tl 3.46
2 Tl 0.0000 0.5000 0.0000  4 Te 3.37
3 Sb 0.0000 0.0000 0.5000  4 Te 2.92
4 Te 0.2077 0.2077 0.6479  1 Sb 2.92

***

Below is a relaxed Nd4Te2Pb crystal, with properties calculated at the PBE level.

As for the uncorrected formation energy: -917.7 meV/atom. The calculation puts the total energy at -5.070 eV/atom. The calculation puts the calculated density at 7.2 g/cm³.

Cell lengths 9.7223, 14.0687, 14.0926 Å; angles 90.00, 90.00, 90.00 degrees
With the nearest neighbours (Å) after each atom.
Space group Fddd (No. 70, origin choice 2)
Inequivalent atoms, fractional coordinates:
1 Nd 0.0642 0.2808 0.4688  3 Te 3.12-3.18, 1 Pb 3.16
2 Te 0.0000 0.0000 0.0000  6 Nd 3.12-3.18
3 Pb 0.1250 0.1250 0.6250  4 Nd 3.16

***

Below is a relaxed Nd2MgRu2 crystal, with properties calculated at the PBE level.

The calculation puts the total energy at -6.096 eV/atom. The calculation puts the calculated density at 7.5 g/cm³. As for the formation energy: -159 meV per atom.

Cell lengths 10.2264, 5.6006, 8.3185 Å; angles 90.00, 106.74, 90.00 degrees
With the nearest neighbours (Å) after each atom.
Space group C2/c (No. 15)
Inequivalent atoms, fractional coordinates:
1 Nd 0.1457 0.1568 0.1452  5 Ru 2.98-3.24, 1 Mg 3.28
2 Mg 0.0000 0.3701 0.7500  4 Ru 2.77-2.78
3 Ru 0.1414 0.3384 0.5131  1 Ru 2.50, 2 Mg 2.77-2.78

***

Below is a relaxed TbPrDy6 crystal, with properties calculated at the PBE level.

The calculation puts the total energy at -4.261 eV/atom. The calculation puts the calculated density at 7.5 g/cm³. The relative energy among the computed polymorphs comes out at 33.29 kJ/mol of atoms. As for the formation energy: 367 meV per atom.

Cell lengths 10.0581, 6.8034, 8.5631 Å; angles 90.00, 105.12, 90.00 degrees
With the nearest neighbours (Å) after each atom.
Space group C2/m (No. 12)
Inequivalent atoms, fractional coordinates:
1 Tb 0.0000 0.0000 0.0000  6 Dy 3.31-3.63
2 Pr 0.0000 0.0000 0.5000  8 Dy 3.44-3.49
3 Dy 0.1274 0.5000 0.9265  5 Dy 3.14-3.48
4 Dy 0.1970 0.2594 0.2983  5 Dy 3.27-3.53, 1 Tb 3.31, 2 Pr 3.44-3.49

***

Below is a relaxed MgPtRh2 crystal, with properties calculated at the PBE level.

The calculation puts the total energy at -5.549 eV/atom. The calculation puts the calculated density at 10.7 g/cm³. As for the formation energy: 36 meV per atom.

Cell lengths 3.7661, 3.7661, 18.5590 Å; angles 90.00, 90.00, 90.00 degrees
With the nearest neighbours (Å) after each atom.
Space group I-42d (No. 122)
Inequivalent atoms, fractional coordinates:
1 Mg 0.0000 0.0000 0.0000  4 Pt 2.66, 4 Rh 2.69
2 Pt 0.0000 0.0000 0.5000  4 Rh 2.66, 4 Mg 2.66
3 Rh 0.2374 0.2500 0.6250  4 Rh 2.60-2.73, 2 Pt 2.66, 2 Mg 2.69

***

Below is a relaxed TbZn2Au2 crystal, with properties calculated at the PBE level.

The calculation puts the total energy at -3.252 eV/atom. The calculation puts the calculated density at 11.4 g/cm³. The relative energy among the computed polymorphs comes out at 3.39 kJ/mol of atoms. As for the formation energy: -505 meV per atom.

Cell lengths 3.8730, 3.8730, 6.6324 Å; angles 90.00, 90.00, 90.00 degrees
With the nearest neighbours (Å) after each atom.
Space group P4/mmm (No. 123)
Inequivalent atoms, fractional coordinates:
1 Tb 0.0000 0.0000 0.0000  8 Au 3.08
2 Zn 0.0000 0.5000 0.5000  4 Au 2.72, 4 Zn 2.74
3 Au 0.5000 0.5000 0.2125  4 Zn 2.72, 1 Au 2.82

***

Below is a relaxed SmDy2Ho8 crystal, with properties calculated at the PBE level.

The calculation puts the total energy at -4.576 eV/atom. The calculation puts the calculated density at 8.7 g/cm³. The relative energy among the computed polymorphs comes out at 0.00 kJ/mol of atoms. As for the formation energy: 19 meV per atom.

Cell lengths 18.0310, 4.9949, 7.9114 Å; angles 90.00, 105.28, 90.00 degrees
With the nearest neighbours (Å) after each atom.
Space group C2/m (No. 12)
Inequivalent atoms, fractional coordinates:
1 Sm 0.0000 0.0000 0.0000  12 Ho 3.54-3.55
2 Dy 0.2276 0.5000 0.6365  10 Ho 3.52-3.54, 2 Dy 3.53
3 Ho 0.0455 0.5000 0.7265  9 Ho 3.52-3.55, 1 Dy 3.54, 2 Sm 3.54
4 Ho 0.0910 0.0000 0.4558  8 Ho 3.52-3.54, 3 Dy 3.53, 1 Sm 3.55
5 Ho 0.1369 0.5000 0.1824  3 Dy 3.52-3.53, 7 Ho 3.52-3.55, 2 Sm 3.54
6 Ho 0.1820 0.0000 0.9085  8 Ho 3.52-3.54, 3 Dy 3.53-3.54, 1 Sm 3.54

***

Below is a relaxed Th7OsSe5 crystal, with properties calculated at the PBE level.

As for the uncorrected formation energy: -1207.8 meV/atom. The calculation puts the total energy at -7.407 eV/atom. The calculation puts the calculated density at 10.3 g/cm³.

Cell lengths 3.9859, 13.8868, 25.7280 Å; angles 90.00, 90.00, 90.00 degrees
With the nearest neighbours (Å) after each atom.
Space group Cmcm (No. 63)
Inequivalent atoms, fractional coordinates:
1 Th 0.0000 0.0289 0.2500  2 Os 2.84, 2 Se 3.00
2 Th 0.0000 0.1386 0.5379  6 Se 2.94-2.97
3 Th 0.0000 0.2742 0.1813  3 Se 2.98-3.07, 2 Os 3.00
4 Th 0.0000 0.4217 0.6130  5 Se 2.98-3.10
5 Os 0.0000 0.3257 0.7500  6 Th 2.84-3.00
6 Se 0.0000 0.0706 0.6466  6 Th 2.95-3.07
7 Se 0.0000 0.2159 0.0697  6 Th 2.95-2.98
8 Se 0.0000 0.5000 0.0000  6 Th 2.94-3.10